# 1
Compound: AlZnNF2
Source: the Alexandria database
Functional: PBE
Structure: relaxed

Results
The total moment is 0.0 μB/cell. The density of states at the Fermi level is 1.3 states/eV/cell.

Lattice parameters (Å, degrees): 3.7919 3.7919 4.3664 90.00 90.00 90.00
Sites, in units of the cell vectors:
Al  0.0000  0.0000  0.0000
Zn  0.5000  0.5000  0.5000
N  0.5000  0.5000  0.0000
F  0.0000  0.5000  0.5000
F  0.5000  0.0000  0.5000

=====

# 2
Compound: AlZnNF2
Source: the Alexandria database
Functional: PBE
Structure: relaxed

Results
The total moment is 0.0 μB/cell. The density of states at the Fermi level is 0.6 states/eV/cell.

Lattice parameters (Å, degrees): 3.6038 3.6038 4.0774 90.00 90.00 90.00
Sites, in units of the cell vectors:
Al  0.0000  0.0000  0.0000
Zn  0.5000  0.5000  0.5000
N  0.0000  0.0000  0.5000
F  0.0000  0.5000  0.0000
F  0.5000  0.0000  0.0000

=====

Which energy above the lowest structure with this stoichiometry belongs to each record? In order, 909.4; 0.0 meV per atom.
Which E belongs to each record? In order, -20.0; -24.6 eV per formula unit.